# 1
Here is a geometry-optimized CoOs2 structure from Alexandria via LeMat-Bulk. Energies are from GGA-PBE. Values from VASP.

```
&SYSTEM
  ibrav = 0, nat = 12, ntyp = 2
/
ATOMIC_SPECIES
Co 58.93 Co.upf
Os 190.23 Os.upf
CELL_PARAMETERS angstrom
5.690 0.000 0.000
0.000 5.690 0.000
0.000 0.000 5.690
ATOMIC_POSITIONS crystal
Co 0.000 0.000 0.000
Co 0.000 0.500 0.500
Co 0.500 0.000 0.500
Co 0.500 0.500 0.000
Os 0.117 0.617 0.883
Os 0.117 0.883 0.383
Os 0.383 0.117 0.883
Os 0.383 0.383 0.383
Os 0.617 0.617 0.617
Os 0.617 0.883 0.117
Os 0.883 0.117 0.617
Os 0.883 0.383 0.117
```

Results
Total magnetic moment (μB per atom): 0.000
Distance to the lowest polymorph of the same formula (meV/atom): 1076
E_form (eV per atom): 1.118
Calculated density (g/cm³): 15.840
DOS at the Fermi energy (states/eV/cell): 13.40

=====

# 2
Here is a geometry-optimized NdErZn2 structure from Alexandria via LeMat-Bulk. Energies are from GGA-PBE. Values from VASP.

```
&SYSTEM
  ibrav = 0, nat = 4, ntyp = 3
/
ATOMIC_SPECIES
Nd 144.24 Nd.upf
Er 167.26 Er.upf
Zn 65.41 Zn.upf
CELL_PARAMETERS angstrom
3.582 0.000 0.000
0.000 3.582 0.000
0.000 0.000 7.334
ATOMIC_POSITIONS crystal
Nd 0.000 0.000 0.000
Er 0.000 0.000 0.500
Zn 0.500 0.500 0.272
Zn 0.500 0.500 0.728
```

Results
Total magnetic moment (μB per atom): 0.000
Distance to the lowest polymorph of the same formula (meV/atom): 0
E_form (eV per atom): -0.322
Calculated density (g/cm³): 7.805
DOS at the Fermi energy (states/eV/cell): 4.25